ZrTaB3 | SCAN | PBEsol geometry

POSCAR file:
```
ZrTaB3
1.0
4.1169 0.0000 0.0000
0.0000 4.1169 0.0000
0.0000 0.0000 4.1169
B Zr Ta
3 1 1
direct
0.0000 0.5000 0.0000 B
0.0000 0.0000 0.5000 B
0.5000 0.0000 0.0000 B
0.5000 0.5000 0.5000 Zr
0.0000 0.0000 0.0000 Ta
```

Computed properties:
DOS at the Fermi energy   1.69 states/eV/cell
Total energy   -23.263 eV/atom
ρ   7249 kg/m³